1.
Material: MnReB3
Method: DFT, PBE
State: optimized geometry

a = 4.025 Å, b = 4.025 Å, c = 4.025 Å
α = 90.00°, β = 90.00°, γ = 90.00°
Sites, in units of the cell vectors:
Re (0.000, 0.000, 0.000)
B (0.000, 0.500, 0.000)
B (0.000, 0.000, 0.500)
B (0.500, 0.000, 0.000)
Mn (0.500, 0.500, 0.500)

Summary:
E above lowest polymorph: 357.9 meV per atom
Energy of formation from the pure elements: 1.5264 eV/atom
D(E_F): 2.098 states/eV/atom
Electronic total energy: -6.80 eV/atom

2.
Material: NdH4Pt
Method: DFT, PBE
State: optimized geometry

a = 4.230 Å, b = 4.560 Å, c = 4.560 Å
α = 60.90°, β = 62.35°, γ = 62.35°
Sites, in units of the cell vectors:
Nd (0.002, 0.503, 0.499)
H (0.674, 0.097, 0.561)
H (0.330, 0.909, 0.437)
H (0.330, 0.441, 0.905)
H (0.674, 0.565, 0.093)
Pt (0.502, 0.003, 0.999)

Summary:
D(E_F): 0.228 states/eV/atom
Electronic total energy: -4.55 eV/atom

3.
Material: YCd2BiH
Method: DFT, PBE
State: optimized geometry

a = 4.786 Å, b = 4.786 Å, c = 4.646 Å
α = 90.00°, β = 90.00°, γ = 90.00°
Sites, in units of the cell vectors:
Y (0.000, 0.000, 0.500)
H (0.000, 0.000, 0.000)
Bi (0.500, 0.500, 0.500)
Cd (0.000, 0.500, 0.000)
Cd (0.500, 0.000, 0.000)

Summary:
D(E_F): 0.581 states/eV/atom
Electronic total energy: -3.30 eV/atom

4.
Material: CrNi2I
Method: DFT, PBE
State: optimized geometry

a = 7.031 Å, b = 7.031 Å, c = 5.620 Å
α = 51.28°, β = 51.28°, γ = 90.00°
Sites, in units of the cell vectors:
I (0.000, 0.000, 0.000)
I (0.750, 0.250, 0.500)
Ni (0.627, 0.125, 0.250)
Ni (0.123, 0.625, 0.250)
Ni (0.375, 0.373, 0.750)
Ni (0.875, 0.877, 0.750)
Cr (0.500, 0.500, 0.000)
Cr (0.250, 0.750, 0.500)

Summary:
E above lowest polymorph: 35.1 meV per atom
D(E_F): 1.122 states/eV/atom
Electronic total energy: -4.95 eV/atom
Energy relative to the elements, uncorrected: 0.731 eV per atom

5.
Material: RbTlSnAs
Method: DFT, PBE
State: optimized geometry

a = 4.163 Å, b = 4.174 Å, c = 9.269 Å
α = 89.80°, β = 90.00°, γ = 60.07°
Sites, in units of the cell vectors:
Rb (0.977, 0.844, 0.607)
Tl (0.647, 0.505, 0.938)
Sn (0.977, 0.845, 0.184)
As (0.644, 0.510, 0.333)

Summary:
Energy of formation from the pure elements: -0.1197 eV/atom
D(E_F): 0.787 states/eV/atom
Electronic total energy: -3.12 eV/atom

6.
Material: La2AuF
Method: DFT, PBE
State: optimized geometry

a = 4.652 Å, b = 4.652 Å, c = 8.068 Å
α = 73.24°, β = 73.24°, γ = 60.00°
Sites, in units of the cell vectors:
F (0.000, 0.000, 0.000)
Au (0.500, 0.500, 0.500)
La (0.102, 0.102, 0.693)
La (0.898, 0.898, 0.307)

Summary:
E above lowest polymorph: 0.0 meV per atom
D(E_F): 1.089 states/eV/atom
Electronic total energy: -5.34 eV/atom
Energy relative to the elements, uncorrected: -1.593 eV per atom